KSbPt2 | Alexandria | PBE | optimized geometry; distance to the lowest polymorph of the same formula = 0.110 eV/atom; space group = No. 25; total magnetic moment = 0.0 Bohr magnetons per cell; energy relative to the elements, uncorrected = -230.9 meV per atom; DOS(E_F) = 0.319 states/eV per atom
1.0
4.031 0.000 0.000
0.000 4.053 0.000
0.000 0.000 6.704
K Sb Pt
1 1 2
Cartesian
0.000 0.000 0.000
2.016 2.027 2.415
0.000 2.027 4.039
2.016 0.000 4.027

***

Sc3InRu2 | Alexandria | PBE | optimized geometry; space group = No. 123; formation enthalpy at 0 K = -0.591 eV/atom; total magnetic moment = 0.0 Bohr magnetons per cell; DOS(E_F) = 0.438 states/eV per atom
1.0
3.294 0.000 0.000
0.000 3.294 0.000
0.000 0.000 10.219
Sc In Ru
3 1 2
Cartesian
0.000 0.000 0.000
0.000 0.000 3.062
0.000 0.000 7.158
1.647 1.647 5.110
1.647 1.647 1.622
1.647 1.647 8.597

***

La5HoErTm2 | Alexandria | PBE | optimized geometry; space group = No. 63; formation enthalpy at 0 K = 0.130 eV/atom; total magnetic moment = 0.0 Bohr magnetons per cell; DOS(E_F) = 1.565 states/eV per atom
1.0
2.742 -10.821 0.000
2.742 10.821 0.000
0.000 0.000 10.624
La Ho Er Tm
10 2 2 4
Cartesian
0.000 0.000 0.000
0.000 0.000 5.312
2.742 8.145 7.968
2.742 6.066 0.639
2.742 6.066 4.674
2.742 0.041 7.968
2.742 -0.041 2.656
2.742 -6.066 5.951
2.742 -6.066 9.986
2.742 -8.145 2.656
2.742 4.521 7.968
2.742 -4.521 2.656
2.742 8.654 2.656
2.742 -8.654 7.968
2.742 2.447 0.011
2.742 2.447 5.302
2.742 -2.447 5.323
2.742 -2.447 10.614